LiSeBr3 PBE relaxed; excess energy over the best structure of this formula in the dataset = 0 meV/atom; DFT total energy = -2.702 eV/atom; formation energy (no corrections) = -0.619 eV per atom; SG = P1 (1)
1.0
4.461 0.000 0.000
1.331 8.626 0.000
2.213 3.335 9.253
Li Se Br
2 2 6
direct
0.000 0.000 0.000
0.428 0.284 0.982
0.220 0.140 0.371
0.401 0.928 0.593
0.079 0.255 0.565
0.111 0.793 0.849
0.342 0.412 0.179
0.434 0.974 0.142
0.629 0.694 0.535
0.979 0.309 0.861